VASP calculation (PBE-GGA) on an optimized crystal structure of Sr2CeN.

Results
Space group   R-3m

Cell: 3.677 3.677 10.750 Å, 80.15 80.15 60.00°
Fractional positions:
Sr 0.122 0.122 0.634
Sr 0.878 0.878 0.366
Ce 0.000 0.000 0.000
N 0.500 0.500 0.500



VASP calculation (PBE-GGA) on an optimized crystal structure of SrCe3N4.

Results
Space group   P6_3/mmc

Cell: 3.606 3.606 23.781 Å, 90.00 90.00 120.00°
Fractional positions:
Sr 0.667 0.333 0.750
Sr 0.333 0.667 0.250
Ce 0.000 0.000 0.000
Ce 0.000 0.000 0.500
Ce 0.333 0.667 0.877
Ce 0.667 0.333 0.123
Ce 0.667 0.333 0.377
Ce 0.333 0.667 0.623
N 0.667 0.333 0.939
N 0.333 0.667 0.061
N 0.333 0.667 0.439
N 0.667 0.333 0.561
N 0.000 0.000 0.825
N 0.000 0.000 0.175
N 0.000 0.000 0.325
N 0.000 0.000 0.675



VASP calculation (PBE-GGA) on an optimized crystal structure of SrCeN2.

Results
Space group   R-3m

Cell: 6.362 6.362 6.362 Å, 33.37 33.37 33.37°
Fractional positions:
Sr 0.000 0.000 0.000
Ce 0.500 0.500 0.500
N 0.765 0.765 0.765
N 0.235 0.235 0.235



VASP calculation (PBE-GGA) on an optimized crystal structure of Sr4CeN4.

Results
Space group   C2/m

Cell: 3.741 6.514 8.476 Å, 76.86 77.25 73.31°
Fractional positions:
Sr 0.708 0.403 0.181
Sr 0.885 0.854 0.376
Sr 0.292 0.597 0.819
Sr 0.115 0.146 0.624
Ce 0.500 0.000 0.000
N 0.302 0.113 0.283
N 0.698 0.887 0.717
N 0.919 0.248 0.913
N 0.081 0.752 0.087



| no. | raw total energy (eV for the cell shown) | E_form (uncorrected) (eV/atom) |
| --- | --- | --- |
| 1 | -18.28 | -0.17 |
| 2 | -126.96 | -1.34 |
| 3 | -29.06 | -1.20 |
| 4 | -52.92 | -0.77 |